Record 1
A geometry-optimized ZrGeS3 structure, computed with GGA-PBEsol.

Cell: 4.9005 4.9005 4.9005 Å, 90.00 90.00 90.00°
Fractional positions:
Zr 0.0000 0.0000 0.0000
Ge 0.5000 0.5000 0.5000
S 0.0000 0.0000 0.5000
S 0.0000 0.5000 0.0000
S 0.5000 0.0000 0.0000

Calculated values
Magnetic moment (μB/cell): 0.00
Space group: Pm-3m (221)
Energy (eV/atom): -5.89
Raw formation energy (meV per atom): -451

Record 2
A geometry-optimized ScGeSb2 structure, computed with GGA-PBEsol.

Cell: 7.6313 7.6313 7.6313 Å, 129.37 129.37 74.41°
Fractional positions:
Sc 0.0000 0.0000 0.0000
Sc 0.7500 0.2500 0.5000
Ge 0.2500 0.7500 0.5000
Ge 0.5000 0.5000 0.0000
Sb 0.1432 0.6250 0.0182
Sb 0.3750 0.3932 0.5182
Sb 0.6068 0.1250 0.9818
Sb 0.8750 0.8568 0.4818

Calculated values
Magnetic moment (μB/cell): 0.00
Space group: I-42d (122)
Energy (eV/atom): -5.20
Raw formation energy (meV per atom): -35